# 1
NbRe2MoH | Alexandria | PBE | optimized geometry; uncorrected energy = -0.7116 Ry/atom; spin magnetization = 0.0 μB per cell; SG = P4/mmm (123)
1.0
-1.859 1.246 -3.370
2.901 -1.717 -2.235
-2.120 -3.446 -0.104
Re Mo Nb H
2 1 1 1
Direct
0.000 0.500 0.000 Re
0.500 0.000 0.000 Re
0.000 0.000 0.500 Mo
0.500 0.500 0.500 Nb
0.000 0.000 0.000 H

***

# 2
Nb2ReMoH | Alexandria | PBE | optimized geometry; uncorrected energy = -0.6891 Ry/atom; spin magnetization = 0.0 μB per cell; SG = P4/mmm (123)
1.0
4.491 0.000 0.000
0.000 4.491 0.000
0.000 0.000 3.479
Re Mo Nb H
1 1 2 1
Direct
0.000 0.000 0.500 Re
0.500 0.500 0.500 Mo
0.000 0.500 0.000 Nb
0.500 0.000 0.000 Nb
0.000 0.000 0.000 H

***

# 3
Nb2MoHRh | Alexandria | PBE | optimized geometry; uncorrected energy = -0.6210 Ry/atom; spin magnetization = 0.0 μB per cell; SG = P4/mmm (123)
1.0
4.305 0.000 0.000
0.000 4.305 0.000
0.000 0.000 3.726
H Mo Rh Nb
1 1 1 2
Direct
0.000 0.000 0.000 H
0.000 0.000 0.500 Mo
0.500 0.500 0.500 Rh
0.000 0.500 0.000 Nb
0.500 0.000 0.000 Nb

***

# 4
NbMo2HRh | Alexandria | PBE | optimized geometry; uncorrected energy = -0.6263 Ry/atom; spin magnetization = 0.0 μB per cell; SG = P4/mmm (123)
1.0
-0.567 -1.130 3.772
3.559 -1.778 0.003
1.772 3.550 1.330
H Mo Rh Nb
1 2 1 1
Direct
0.000 0.000 0.000 H
0.000 0.500 0.000 Mo
0.500 0.000 0.000 Mo
0.500 0.500 0.500 Rh
0.000 0.000 0.500 Nb

***

Which value of uncorrected energy does entry 2 give? -0.6891 Ry/atom

***

Among the records above, which one has the highest uncorrected energy? Nb2MoHRh